# 1
Here is ScIrPt2 after structural relaxation from Alexandria via LeMat-Bulk. Energies are from PBE.

Unit cell a=9.2012 b=9.2012 c=9.2012 alpha=18.01 beta=18.01 gamma=18.01
Last column: nearest neighbours and their distance in Å.
Sites, in units of the cell vectors:
Sc 0.2500 0.2500 0.2500  6 Pt 2.77, 6 Sc 2.88
Pt 0.9984 0.9984 0.9984  3 Sc 2.77, 3 Ir 2.84, 6 Pt 2.88
Pt 0.5016 0.5016 0.5016  3 Sc 2.77, 3 Ir 2.84, 6 Pt 2.88
Ir 0.7500 0.7500 0.7500  6 Pt 2.84, 6 Ir 2.88

Values from the calculation:
M_tot: 0.25 μB per atom
Crystal system: trigonal
Space-group type: R-3m (166)
Electronic total energy: -7.07 eV per atom

# 2
Here is Sc4Ir2Pt after structural relaxation from Alexandria via LeMat-Bulk. Energies are from PBE.

Unit cell a=4.5617 b=4.5617 c=7.8634 alpha=73.14 beta=73.14 gamma=60.00
Last column: nearest neighbours and their distance in Å.
Sites, in units of the cell vectors:
Sc 0.3793 0.3793 0.8620  4 Ir 2.75-2.85, 3 Pt 2.83
Sc 0.6207 0.6207 0.1380  4 Ir 2.75-2.85, 3 Pt 2.83
Sc 0.8719 0.8719 0.3844  4 Ir 2.73-2.82, 1 Pt 2.85
Sc 0.1281 0.1281 0.6156  4 Ir 2.73-2.82, 1 Pt 2.85
Ir 0.7489 0.7489 0.7533  8 Sc 2.73-2.85
Ir 0.2511 0.2511 0.2467  8 Sc 2.73-2.85
Pt 0.0000 0.0000 0.0000  8 Sc 2.83-2.85

Values from the calculation:
M_tot: 0.00 μB per atom
Crystal system: trigonal
Space-group type: R-3m (166)
Electronic total energy: -8.01 eV per atom

# 3
Here is ScIr2Pt after structural relaxation from Alexandria via LeMat-Bulk. Energies are from PBE.

Unit cell a=4.8778 b=4.8778 c=4.8767 alpha=132.02 beta=132.02 gamma=70.21
Last column: nearest neighbours and their distance in Å.
Sites, in units of the cell vectors:
Ir 0.2500 0.7500 0.5000  4 Sc 2.80-2.81, 4 Ir 2.81, 4 Pt 2.81
Ir 0.0000 0.0000 0.0000  4 Pt 2.80-2.81, 4 Ir 2.81, 4 Sc 2.81
Sc 0.7500 0.2500 0.5000  8 Ir 2.80-2.81, 4 Pt 2.81
Pt 0.5000 0.5000 0.0000  8 Ir 2.80-2.81, 4 Sc 2.81

Values from the calculation:
M_tot: 0.00 μB per atom
Crystal system: tetragonal
Space-group type: I-4m2 (119)
Electronic total energy: -8.11 eV per atom

# 4
Here is ScIrPt2 after structural relaxation from Alexandria via LeMat-Bulk. Energies are from PBE.

Unit cell a=3.8707 b=3.8707 c=9.7405 alpha=78.54 beta=78.54 gamma=90.00
Last column: nearest neighbours and their distance in Å.
Sites, in units of the cell vectors:
Sc 0.5000 0.5000 0.0000  4 Pt 2.72, 4 Ir 2.74
Sc 0.2500 0.7500 0.5000  4 Pt 2.72, 4 Ir 2.74
Pt 0.6367 0.1250 0.2500  4 Pt 2.67-2.80, 2 Ir 2.69, 2 Sc 2.72
Pt 0.1133 0.6250 0.2500  4 Pt 2.67-2.80, 2 Ir 2.69, 2 Sc 2.72
Pt 0.3750 0.3633 0.7500  4 Pt 2.67-2.80, 2 Ir 2.69, 2 Sc 2.72
Pt 0.8750 0.8867 0.7500  4 Pt 2.67-2.80, 2 Ir 2.69, 2 Sc 2.72
Ir 0.0000 0.0000 0.0000  4 Pt 2.69, 4 Sc 2.74
Ir 0.7500 0.2500 0.5000  4 Pt 2.69, 4 Sc 2.74

Values from the calculation:
M_tot: 0.00 μB per atom
Crystal system: tetragonal
Space-group type: I-42d (122)
Electronic total energy: -7.24 eV per atom

# 5
Here is ScIr2Pt after structural relaxation from Alexandria via LeMat-Bulk. Energies are from PBE.

Unit cell a=4.8644 b=4.8644 c=4.8158 alpha=79.65 beta=79.65 gamma=34.54
Last column: nearest neighbours and their distance in Å.
Sites, in units of the cell vectors:
Sc 0.2510 0.2510 0.2588  7 Ir 2.75-2.90, 3 Pt 2.75-2.81, 2 Sc 2.89
Ir 0.0042 0.0042 0.9703  5 Ir 2.69-2.89, 4 Pt 2.71-2.90, 3 Sc 2.88-2.90
Ir 0.7465 0.7465 0.7752  5 Ir 2.69-2.89, 4 Sc 2.75-2.87, 3 Pt 2.86-2.88
Pt 0.4982 0.4982 0.4957  7 Ir 2.71-2.90, 3 Sc 2.75-2.81, 2 Pt 2.89

Values from the calculation:
M_tot: 0.00 μB per atom
Crystal system: monoclinic
Space-group type: Cm (8)
Electronic total energy: -8.03 eV per atom

# 6
Here is ScIrPt2 after structural relaxation from Alexandria via LeMat-Bulk. Energies are from PBE.

Unit cell a=9.1167 b=9.1167 c=9.1167 alpha=18.32 beta=18.32 gamma=18.32
Last column: nearest neighbours and their distance in Å.
Sites, in units of the cell vectors:
Pt 0.2464 0.2464 0.2464  3 Sc 2.75, 9 Pt 2.90
Pt 0.0011 0.0011 0.0011  3 Ir 2.86, 9 Pt 2.90
Sc 0.4986 0.4986 0.4986  3 Ir 2.69, 3 Pt 2.75, 6 Sc 2.90
Ir 0.7538 0.7538 0.7538  3 Sc 2.69, 3 Pt 2.86, 6 Ir 2.90

Values from the calculation:
M_tot: 0.00 μB per atom
Crystal system: trigonal
Space-group type: R3m (160)
Electronic total energy: -7.12 eV per atom